1.
Density functional theory data (PBE) for a relaxed KSr2Fe crystal.

## Properties
E_form, meV per atom: 901.2
Spin magnetization, Bohr magnetons per cell: 0.0
Calculated total energy, eV per atom: -2.330

Lattice parameters (Å, degrees): 8.2769 8.2769 11.7362 90.00 90.00 90.00
With the nearest neighbours (Å) after each atom.
Space group I4_1/amd (No. 141, origin choice 2)
Unique sites:
K 0.0000 0.2500 0.3750 x4  12 Sr 4.85-4.86, 4 Fe 5.07, 4 K 5.07
Sr 0.0000 0.0000 0.0000 x8  2 Fe 2.54
Fe 0.0000 0.2500 0.8750 x4  4 Sr 2.54

2.
Density functional theory data (PBE) for a relaxed Ba2ZnCdPt crystal.

## Properties
E_form, meV per atom: -418.3
Spin magnetization, Bohr magnetons per cell: 0.0
Relative energy among the computed polymorphs, meV/atom: 47.8
Calculated total energy, eV per atom: -2.833

Lattice parameters (Å, degrees): 6.1345 6.1345 4.9425 90.00 90.00 90.00
With the nearest neighbours (Å) after each atom.
Space group P4/mmm (No. 123)
Unique sites:
Ba 0.0000 0.5000 0.0000 x2  2 Pt 3.07
Zn 0.0000 0.0000 0.5000 x1  2 Pt 2.47
Cd 0.5000 0.5000 0.5000 x1  8 Ba 3.94, 4 Zn 4.34
Pt 0.0000 0.0000 0.0000 x1  2 Zn 2.47

3.
Density functional theory data (PBE) for a relaxed La2Nd2YHg5 crystal.

## Properties
E_form, meV per atom: -336.6
Spin magnetization, Bohr magnetons per cell: 0.0
Calculated total energy, eV per atom: -3.073

Lattice parameters (Å, degrees): 11.1819 11.1819 4.6061 90.00 90.00 90.00
With the nearest neighbours (Å) after each atom.
Space group P4/mbm (No. 127)
Unique sites:
La 0.1752 0.3248 0.0000 x4  3 Nd 3.10-3.44
Nd 0.1291 0.6291 0.0000 x4  6 Hg 3.08-3.18, 3 La 3.10-3.44
Y 0.0000 0.0000 0.0000 x2  8 Hg 3.20
Hg 0.0000 0.5000 0.5000 x2  4 Nd 3.08
Hg 0.0836 0.8196 0.5000 x8  2 Hg 3.14, 2 Nd 3.18, 2 Y 3.20

4.
Density functional theory data (PBE) for a relaxed Cr3AgRu crystal.

## Properties
E_form, meV per atom: 1224.3
Spin magnetization, Bohr magnetons per cell: 9.4
Relative energy among the computed polymorphs, meV/atom: 0.0
Calculated total energy, eV per atom: -6.975

Lattice parameters (Å, degrees): 4.6590 4.6590 4.6590 90.00 90.00 90.00
With the nearest neighbours (Å) after each atom.
Space group Pm-3m (No. 221)
Unique sites:
Cr 0.0000 0.0000 0.5000 x3  2 Ru 2.33
Ag 0.5000 0.5000 0.5000 x1  12 Cr 3.29
Ru 0.0000 0.0000 0.0000 x1  6 Cr 2.33

5.
Density functional theory data (PBE) for a relaxed Pa2BeGe crystal.

## Properties
E_form, meV per atom: -75.7
Spin magnetization, Bohr magnetons per cell: 0.0
Relative energy among the computed polymorphs, meV/atom: 0.0
Calculated total energy, eV per atom: -6.910

Lattice parameters (Å, degrees): 4.3697 4.3697 4.1275 90.00 90.00 90.00
With the nearest neighbours (Å) after each atom.
Space group P4/mmm (No. 123)
Unique sites:
Pa 0.0000 0.5000 0.0000 x2  4 Ge 3.01, 4 Be 3.01, 4 Pa 3.09
Be 0.0000 0.0000 0.5000 x1  8 Pa 3.01, 4 Ge 3.09
Ge 0.5000 0.5000 0.5000 x1  8 Pa 3.01, 4 Be 3.09

6.
Density functional theory data (PBE) for a relaxed Ba2CaAg crystal.

## Properties
E_form, meV per atom: -11.6
Spin magnetization, Bohr magnetons per cell: 0.0
Relative energy among the computed polymorphs, meV/atom: 121.4
Calculated total energy, eV per atom: -2.186

Lattice parameters (Å, degrees): 4.5083 4.5083 33.3076 90.00 90.00 120.00
With the nearest neighbours (Å) after each atom.
Space group R-3m (No. 166, hexagonal axes)
Unique sites:
Ba 0.0000 0.0000 0.2302 x6  3 Ag 3.35
Ca 0.0000 0.0000 0.0000 x3  6 Ba 4.31, 6 Ca 4.51
Ag 0.0000 0.0000 0.5000 x3  6 Ba 3.35

7.
Density functional theory data (PBE) for a relaxed NaZrAl crystal.

## Properties
E_form, meV per atom: -90.2
Spin magnetization, Bohr magnetons per cell: 0.0
Relative energy among the computed polymorphs, meV/atom: 0.0
Calculated total energy, eV per atom: -4.627

Lattice parameters (Å, degrees): 4.3543 4.3544 14.6483 90.00 90.12 90.00
With the nearest neighbours (Å) after each atom.
Space group Cm (No. 8)
Unique sites:
Na 0.0000 0.0000 0.0000 x2  4 Na 3.08
Na 0.0059 0.5000 0.7780 x2  4 Na 3.08, 4 Al 3.25-3.26
Zr 0.0017 0.5000 0.2004 x2  4 Al 2.92, 4 Zr 3.08
Zr 0.0042 0.5000 0.4744 x2  8 Al 2.97-3.00, 4 Zr 3.08
Al 0.0030 0.0000 0.3333 x2  8 Zr 2.92-3.00, 4 Al 3.08
Al 0.0053 0.0000 0.6128 x2  4 Zr 2.97-2.98, 4 Al 3.08, 4 Na 3.25-3.26

8.
Density functional theory data (PBE) for a relaxed KZn2P2HO8 crystal.

## Properties
Spin magnetization, Bohr magnetons per cell: 0.0
Calculated total energy, eV per atom: -6.087

Lattice parameters (Å, degrees): 5.2855 8.9451 9.6129 75.59 78.63 72.82
With the nearest neighbours (Å) after each atom.
Space group P-1 (No. 2)
Unique sites:
K 0.2100 0.1957 0.3223 x2  6 O 2.74-3.03
Zn 0.1040 0.1182 0.7641 x2  4 O 1.93-2.00
Zn 0.3010 0.3865 0.8907 x2  4 O 1.94-2.05
P 0.1662 0.7458 0.9469 x2  4 O 1.54-1.59
P 0.4057 0.7474 0.3954 x2  4 O 1.54-1.60
H 0.4658 0.5718 0.6050 x2  1 O 1.02
O 0.0206 0.2664 0.9011 x2  1 P 1.59
O 0.0564 0.9064 0.8472 x2  1 P 1.54
O 0.0996 0.7997 0.4031 x2  1 P 1.54
O 0.1335 0.6136 0.8794 x2  1 P 1.55
O 0.4567 0.7267 0.9672 x2  1 P 1.54
O 0.4660 0.3940 0.6841 x2  1 P 1.55, 1 H 1.58
O 0.4733 0.1100 0.6705 x2  1 P 1.54
O 0.4732 0.6863 0.5580 x2  1 H 1.02

9.
Density functional theory data (PBE) for a relaxed HfTaNb3 crystal.

## Properties
E_form, meV per atom: 264.4
Spin magnetization, Bohr magnetons per cell: 0.0
Relative energy among the computed polymorphs, meV/atom: 233.8
Calculated total energy, eV per atom: -10.139

Lattice parameters (Å, degrees): 5.6497 13.3490 5.3902 90.00 90.00 90.00
With the nearest neighbours (Å) after each atom.
Space group Cmcm (No. 63)
Unique sites:
Hf 0.0000 0.0675 0.2500 x4  8 Nb 3.21-3.25, 2 Hf 3.24, 4 Ta 3.26
Ta 0.0000 0.5000 0.0000 x4  2 Ta 2.70, 6 Nb 2.77-2.84
Nb 0.0000 0.3185 0.7500 x4  2 Nb 2.61, 2 Ta 2.77
Nb 0.2447 0.1525 0.7500 x8  3 Nb 2.61-2.88, 2 Ta 2.84